# 1
Mg4Ga3Ag4: relaxed, GGA-PBE. Values from VASP.

Quantum ESPRESSO input file:
```
&SYSTEM
  ibrav = 0, nat = 11, ntyp = 3
/
ATOMIC_SPECIES
Mg 24.30 Mg.upf
Ga 69.72 Ga.upf
Ag 107.87 Ag.upf
CELL_PARAMETERS angstrom
3.120 0.000 0.000
0.003 4.554 0.000
1.138 2.174 14.315
ATOMIC_POSITIONS angstrom
Mg 0.712 1.100 5.602
Mg 0.740 3.404 2.063
Mg 3.520 3.324 12.251
Mg 3.548 5.627 8.712
Ga 1.955 5.611 11.369
Ga 2.130 3.364 7.157
Ga 2.305 1.117 2.946
Ag 0.787 1.138 0.463
Ag 1.972 3.340 9.811
Ag 2.289 3.387 4.504
Ag 3.473 5.590 13.852
```

Calculated values
* theoretical density: 6.02 Mg/m³
* E_form: -0.159 eV per atom

=====

# 2
Mg3Ga12Ag: relaxed, GGA-PBE. Values from VASP.

Quantum ESPRESSO input file:
```
&SYSTEM
  ibrav = 0, nat = 16, ntyp = 3
/
ATOMIC_SPECIES
Mg 24.30 Mg.upf
Ga 69.72 Ga.upf
Ag 107.87 Ag.upf
CELL_PARAMETERS angstrom
4.259 0.000 0.000
0.000 4.259 0.000
0.000 0.000 16.402
ATOMIC_POSITIONS angstrom
Mg 0.000 0.000 0.000
Mg 0.000 0.000 4.113
Mg 0.000 0.000 12.289
Ga 0.000 2.129 2.065
Ga 0.000 2.129 6.189
Ga 0.000 2.129 10.213
Ga 0.000 2.129 14.337
Ga 2.129 0.000 2.065
Ga 2.129 0.000 6.189
Ga 2.129 0.000 10.213
Ga 2.129 0.000 14.337
Ga 2.129 2.129 0.000
Ga 2.129 2.129 4.095
Ga 2.129 2.129 8.201
Ga 2.129 2.129 12.307
Ag 0.000 0.000 8.201
```

Calculated values
* theoretical density: 5.68 Mg/m³
* E_form: -0.059 eV per atom

=====

# 3
Mg3Ga2Ag3: relaxed, GGA-PBE. Values from VASP.

Quantum ESPRESSO input file:
```
&SYSTEM
  ibrav = 0, nat = 16, ntyp = 3
/
ATOMIC_SPECIES
Mg 24.30 Mg.upf
Ga 69.72 Ga.upf
Ag 107.87 Ag.upf
CELL_PARAMETERS angstrom
2.209 -5.085 0.000
2.209 5.085 0.000
0.000 0.000 13.667
ATOMIC_POSITIONS angstrom
Mg 2.209 4.462 8.298
Mg 2.209 4.462 12.202
Mg 2.209 2.058 10.250
Mg 2.209 -2.058 3.417
Mg 2.209 -4.462 1.465
Mg 2.209 -4.462 5.368
Ga 2.209 2.630 1.406
Ga 2.209 2.630 5.427
Ga 2.209 -2.630 8.239
Ga 2.209 -2.630 12.260
Ag 2.209 1.081 7.691
Ag 2.209 1.081 12.809
Ag 2.209 0.822 3.417
Ag 2.209 -0.822 10.250
Ag 2.209 -1.081 0.858
Ag 2.209 -1.081 5.975
```

Calculated values
* theoretical density: 5.80 Mg/m³
* E_form: -0.132 eV per atom

=====

# 4
Mg2Ga4Ag3: relaxed, GGA-PBE. Values from VASP.

Quantum ESPRESSO input file:
```
&SYSTEM
  ibrav = 0, nat = 18, ntyp = 3
/
ATOMIC_SPECIES
Mg 24.30 Mg.upf
Ga 69.72 Ga.upf
Ag 107.87 Ag.upf
CELL_PARAMETERS angstrom
2.764 -7.354 0.000
2.764 7.354 0.000
0.000 0.000 8.541
ATOMIC_POSITIONS angstrom
Mg 2.764 5.947 7.893
Mg 2.764 1.407 3.623
Mg 2.764 -1.407 4.918
Mg 2.764 -5.947 0.647
Ga 1.382 1.036 6.406
Ga 2.764 4.618 4.210
Ga 2.764 2.736 8.480
Ga 1.382 -1.036 2.135
Ga 4.146 1.036 6.406
Ga 2.764 -2.736 0.061
Ga 2.764 -4.618 4.331
Ga 4.146 -1.036 2.135
Ag 0.000 0.000 4.270
Ag 1.382 3.491 2.135
Ag 1.382 -3.491 6.406
Ag 2.764 0.000 0.000
Ag 4.146 3.491 2.135
Ag 4.146 -3.491 6.406
```

Calculated values
* theoretical density: 6.23 Mg/m³
* E_form: -0.048 eV per atom

=====

# 5
Mg4GaAg5: relaxed, GGA-PBE. Values from VASP.

Quantum ESPRESSO input file:
```
&SYSTEM
  ibrav = 0, nat = 10, ntyp = 3
/
ATOMIC_SPECIES
Mg 24.30 Mg.upf
Ga 69.72 Ga.upf
Ag 107.87 Ag.upf
CELL_PARAMETERS angstrom
3.395 0.000 0.000
0.000 3.395 0.000
0.000 0.000 15.884
ATOMIC_POSITIONS angstrom
Mg 0.000 0.000 1.607
Mg 0.000 0.000 4.828
Mg 0.000 0.000 11.056
Mg 0.000 0.000 14.277
Ga 0.000 0.000 7.942
Ag 1.697 1.697 0.000
Ag 1.697 1.697 3.233
Ag 1.697 1.697 6.404
Ag 1.697 1.697 9.480
Ag 1.697 1.697 12.651
```

Calculated values
* theoretical density: 6.41 Mg/m³
* E_form: -0.196 eV per atom

=====

# 6
Mg3GaAg3: relaxed, GGA-PBE. Values from VASP.

Quantum ESPRESSO input file:
```
&SYSTEM
  ibrav = 0, nat = 14, ntyp = 3
/
ATOMIC_SPECIES
Mg 24.30 Mg.upf
Ga 69.72 Ga.upf
Ag 107.87 Ag.upf
CELL_PARAMETERS angstrom
4.585 -4.596 0.000
4.585 4.596 0.000
-0.013 0.000 6.515
ATOMIC_POSITIONS angstrom
Mg 0.007 0.000 1.697
Mg 2.293 2.156 4.860
Mg 2.293 -2.156 4.860
Mg 6.863 2.156 1.655
Mg 6.863 -2.156 1.655
Mg 9.149 0.000 4.818
Ga 2.857 0.000 3.052
Ga 6.299 0.000 3.463
Ag 4.585 2.176 0.000
Ag 4.578 2.141 3.257
Ag 2.478 0.000 0.173
Ag 6.678 0.000 6.342
Ag 4.578 -2.141 3.257
Ag 4.585 -2.176 0.000
```

Calculated values
* theoretical density: 5.64 Mg/m³
* E_form: -0.109 eV per atom

=====

# 7
Mg12Ga5Ag2: relaxed, GGA-PBE. Values from VASP.

Quantum ESPRESSO input file:
```
&SYSTEM
  ibrav = 0, nat = 19, ntyp = 3
/
ATOMIC_SPECIES
Mg 24.30 Mg.upf
Ga 69.72 Ga.upf
Ag 107.87 Ag.upf
CELL_PARAMETERS angstrom
5.897 -4.500 0.000
5.897 4.500 0.000
-0.754 0.000 7.391
ATOMIC_POSITIONS angstrom
Mg 0.770 0.000 1.633
Mg 4.487 2.499 0.922
Mg 3.638 1.575 5.345
Mg 6.552 2.499 6.470
Mg 4.301 0.000 2.766
Mg 7.401 1.575 2.047
Mg 3.638 -1.575 5.345
Mg 6.738 0.000 4.626
Mg 4.487 -2.499 0.922
Mg 7.401 -1.575 2.047
Mg 6.552 -2.499 6.470
Mg 10.269 0.000 5.759
Ga 1.548 0.000 4.410
Ga 3.163 0.000 0.144
Ga 5.897 0.000 0.000
Ga 7.876 0.000 7.247
Ga 9.490 0.000 2.982
Ag 5.519 2.658 3.696
Ag 5.519 -2.658 3.696
```

Calculated values
* theoretical density: 3.62 Mg/m³
* E_form: -0.091 eV per atom

=====

# 8
MgGa7Ag2: relaxed, GGA-PBE. Values from VASP.

Quantum ESPRESSO input file:
```
&SYSTEM
  ibrav = 0, nat = 10, ntyp = 3
/
ATOMIC_SPECIES
Mg 24.30 Mg.upf
Ga 69.72 Ga.upf
Ag 107.87 Ag.upf
CELL_PARAMETERS angstrom
4.440 -7.722 0.000
4.440 7.722 0.000
0.000 0.000 2.970
ATOMIC_POSITIONS angstrom
Mg 0.000 0.000 0.000
Ga 2.015 1.468 1.485
Ga 4.440 4.877 0.000
Ga 2.015 -1.468 1.485
Ga 4.440 0.000 1.485
Ga 6.865 1.468 1.485
Ga 4.440 -4.877 0.000
Ga 6.865 -1.468 1.485
Ag 4.440 2.663 1.485
Ag 4.440 -2.663 1.485
```

Calculated values
* theoretical density: 5.94 Mg/m³
* E_form: 0.042 eV per atom

=====

# 9
Mg6Ga3Ag: relaxed, GGA-PBE. Values from VASP.

Quantum ESPRESSO input file:
```
&SYSTEM
  ibrav = 0, nat = 20, ntyp = 3
/
ATOMIC_SPECIES
Mg 24.30 Mg.upf
Ga 69.72 Ga.upf
Ag 107.87 Ag.upf
CELL_PARAMETERS angstrom
8.140 0.000 0.000
0.000 4.837 0.000
-3.688 0.000 9.981
ATOMIC_POSITIONS angstrom
Mg -1.295 1.209 4.246
Mg 0.751 3.627 1.691
Mg 1.973 1.209 0.095
Mg -0.108 3.627 7.944
Mg 1.637 1.209 3.359
Mg 0.994 1.209 6.316
Mg 3.459 3.627 3.665
Mg 2.815 3.627 6.621
Mg 4.560 1.209 2.036
Mg 2.479 3.627 9.885
Mg 3.702 1.209 8.290
Mg 5.747 3.627 5.735
Ga -2.907 3.627 8.694
Ga -1.793 1.209 7.211
Ga 0.477 3.627 4.725
Ga 3.975 1.209 5.256
Ga 6.246 3.627 2.770
Ga 7.360 1.209 1.287
Ag 3.455 3.627 0.812
Ag 0.997 1.209 9.168
```

Calculated values
* theoretical density: 3.91 Mg/m³
* E_form: -0.139 eV per atom

=====

# 10
Mg2Ga3Ag8: relaxed, GGA-PBE. Values from VASP.

Quantum ESPRESSO input file:
```
&SYSTEM
  ibrav = 0, nat = 13, ntyp = 3
/
ATOMIC_SPECIES
Mg 24.30 Mg.upf
Ga 69.72 Ga.upf
Ag 107.87 Ag.upf
CELL_PARAMETERS angstrom
5.869 -3.731 0.000
5.869 3.731 0.000
-1.274 0.000 5.695
ATOMIC_POSITIONS angstrom
Mg 2.080 0.000 1.440
Mg 8.384 0.000 4.256
Ga -0.637 0.000 2.848
Ga 5.869 2.404 0.000
Ga 5.869 -2.404 0.000
Ag 3.784 1.443 3.198
Ag 1.529 0.000 4.393
Ag 4.744 0.000 0.825
Ag 6.680 1.443 2.498
Ag 3.784 -1.443 3.198
Ag 5.720 0.000 4.871
Ag 8.935 0.000 1.303
Ag 6.680 -1.443 2.498
```

Calculated values
* theoretical density: 7.46 Mg/m³
* E_form: 0.005 eV per atom

=====

# 11
MgGa7Ag3: relaxed, GGA-PBE. Values from VASP.

Quantum ESPRESSO input file:
```
&SYSTEM
  ibrav = 0, nat = 11, ntyp = 3
/
ATOMIC_SPECIES
Mg 24.30 Mg.upf
Ga 69.72 Ga.upf
Ag 107.87 Ag.upf
CELL_PARAMETERS angstrom
6.033 0.000 0.000
-3.017 5.225 0.000
0.000 0.000 6.574
ATOMIC_POSITIONS angstrom
Mg 0.000 0.000 0.000
Ga -1.424 2.661 6.431
Ga 0.000 1.864 2.254
Ga -1.403 4.293 2.254
Ga 1.424 2.661 6.431
Ga 0.000 5.128 6.431
Ga 1.403 4.293 2.254
Ga 3.017 1.742 2.022
Ag 1.521 0.878 4.319
Ag 4.512 0.878 4.319
Ag 3.017 3.469 4.319
```

Calculated values
* theoretical density: 6.70 Mg/m³
* E_form: -0.028 eV per atom

=====

# 12
Mg3GaAg8: relaxed, GGA-PBE. Values from VASP.

Quantum ESPRESSO input file:
```
&SYSTEM
  ibrav = 0, nat = 12, ntyp = 3
/
ATOMIC_SPECIES
Mg 24.30 Mg.upf
Ga 69.72 Ga.upf
Ag 107.87 Ag.upf
CELL_PARAMETERS angstrom
4.539 -3.537 0.000
4.539 3.537 0.000
-3.578 0.000 7.477
ATOMIC_POSITIONS angstrom
Mg 0.000 0.000 0.000
Mg 1.464 1.845 4.586
Mg 1.464 -1.845 4.586
Ga 3.544 0.000 0.931
Ag -0.815 1.408 6.359
Ag 3.689 2.109 2.596
Ag 1.541 0.000 2.465
Ag -0.815 -1.408 6.359
Ag 1.913 0.000 6.747
Ag 3.744 0.000 4.535
Ag 5.814 0.000 2.242
Ag 3.689 -2.109 2.596
```

Calculated values
* theoretical density: 6.96 Mg/m³
* E_form: 0.000 eV per atom

=====

Q: Which of these has the highest E_form?
A: MgGa7Ag2

=====

Q: theoretical density of number 11 (MgGa7Ag3)?
A: 6.70 Mg/m³

=====

Q: What is the theoretical density in the third record?
A: 5.80 Mg/m³